Crystalline YFeGe2Ir at its relaxed geometry, computed with PBE-GGA.

Spin magnetization   0.000 Bohr magnetons per cell
DOS(E_F)   0.643 states/eV/atom
Space group   No. 119
Calculated formation energy   -0.61 eV per atom

Cell lengths 4.1207, 4.1207, 5.8262 Å; angles 110.71, 110.71, 90.00 degrees
With the nearest neighbours (Å) after each atom.
Element x y z (fractional)
1 Ge 0.6262 0.6262 0.2524  2 Fe 2.41, 2 Ir 2.41, 1 Ge 2.55
2 Ge 0.3738 0.3738 0.7476  2 Fe 2.41, 2 Ir 2.41, 1 Ge 2.55
3 Y 0.0000 0.0000 0.0000  8 Ge 3.18, 4 Fe 3.26, 4 Ir 3.26
4 Ir 0.2500 0.7500 0.5000  4 Ge 2.41
5 Fe 0.7500 0.2500 0.5000  4 Ge 2.41